No. 1
VASP calculation (GGA-PBE) on an optimized crystal structure of SiMo2Au.

For the formation energy (no corrections), the calculation gives 209 meV per atom. The uncorrected energy is -59.05 eV for the cell shown. The calculated density is 11.13 Mg/m³. For the size of the total moment, the calculation gives 0.00 μB per formula unit.

It has space group I4/mmm (No. 139), with a = 3.880 Å, b = 3.880 Å, c = 8.263 Å, α = 90.00°, β = 90.00° and γ = 90.00°. The asymmetric unit holds Si at (0.000, 0.000, 0.000), Mo at (0.000, 0.500, 0.250) and Au at (0.000, 0.000, 0.500).

No. 2
VASP calculation (GGA-PBE) on an optimized crystal structure of SbTe2ICl.

For the formation energy (no corrections), the calculation gives 756 meV per atom. The uncorrected energy is -10.02 eV for the cell shown. The energy relative to the lowest polymorph listed for this composition comes out at 0.338 eV/atom. The calculated density is 5.32 Mg/m³. For the size of the total moment, the calculation gives 0.00 μB per formula unit.

It has space group P4/mmm (No. 123), with a = 5.466 Å, b = 5.466 Å, c = 5.636 Å, α = 90.00°, β = 90.00° and γ = 90.00°. The asymmetric unit holds Sb at (0.000, 0.000, 0.000), Te at (0.000, 0.500, 0.500), I at (0.500, 0.500, 0.000) and Cl at (0.000, 0.000, 0.500).

No. 3
VASP calculation (GGA-PBE) on an optimized crystal structure of ZnCo2MoBr.

For the formation energy (no corrections), the calculation gives 1360 meV per atom. The uncorrected energy is -21.19 eV for the cell shown. The calculated density is 5.72 Mg/m³. For the size of the total moment, the calculation gives 1.73 μB per formula unit.

It has space group P4/mmm (No. 123), with a = 4.494 Å, b = 4.494 Å, c = 5.162 Å, α = 90.00°, β = 90.00° and γ = 90.00°. The asymmetric unit holds Zn at (0.000, 0.000, 0.000), Co at (0.000, 0.500, 0.500), Mo at (0.000, 0.000, 0.500) and Br at (0.500, 0.500, 0.000).

No. 4
VASP calculation (GGA-PBE) on an optimized crystal structure of SrAlTl2.

The calculation puts the energy of formation from the pure elements at -0.088 eV per atom. The uncorrected energy is -10.51 eV for the cell shown. The calculated density is 7.35 Mg/m³. For the size of the total moment, the calculation gives 0.00 μB per formula unit.

It has space group P2/m (No. 10), with a = 3.763 Å, b = 4.865 Å, c = 6.555 Å, α = 90.00°, β = 99.90° and γ = 90.00°. The asymmetric unit holds Sr at (0.000, 0.000, 0.000), Al at (0.500, 0.000, 0.500) and Tl at (0.335, 0.500, 0.720).

No. 5
VASP calculation (GGA-PBE) on an optimized crystal structure of Cs2InAgPt.

The calculation puts the energy of formation from the pure elements at 0.005 eV per atom. The uncorrected energy is -13.31 eV for the cell shown. The calculated density is 4.88 Mg/m³. For the size of the total moment, the calculation gives 0.00 μB per formula unit.

It has space group P4/mmm (No. 123), with a = 6.688 Å, b = 6.688 Å, c = 5.203 Å, α = 90.00°, β = 90.00° and γ = 90.00°. The asymmetric unit holds Cs at (0.000, 0.500, 0.000), In at (0.000, 0.000, 0.500), Ag at (0.500, 0.500, 0.500) and Pt at (0.000, 0.000, 0.000).

No. 6
VASP calculation (GGA-PBE) on an optimized crystal structure of LaCuAg2Se4.

For the formation energy (no corrections), the calculation gives -607 meV per atom. The uncorrected energy is -134.09 eV for the cell shown. The calculated density is 6.51 Mg/m³. For the size of the total moment, the calculation gives 0.00 μB per formula unit.

It has space group Cmcm (No. 63), with a = 4.163 Å, b = 13.834 Å, c = 13.007 Å, α = 90.00°, β = 90.00° and γ = 90.00°. The asymmetric unit holds La at (0.000, 0.093, 0.250), Cu at (0.000, 0.164, 0.750), Ag at (0.000, 0.375, 0.056), Se at (0.000, 0.000, 0.000), Se at (0.000, 0.298, 0.626) and Se at (0.000, 0.430, 0.250).

No. 7
VASP calculation (GGA-PBE) on an optimized crystal structure of MnH2W.

The uncorrected energy is -112.25 eV for the cell shown. The energy relative to the lowest polymorph listed for this composition comes out at 0.029 eV/atom. The calculated density is 11.71 Mg/m³. For the size of the total moment, the calculation gives 1.88 μB per formula unit.

It has space group I-42d (No. 122), with a = 4.106 Å, b = 4.106 Å, c = 8.104 Å, α = 90.00°, β = 90.00° and γ = 90.00°. The asymmetric unit holds Mn at (0.000, 0.000, 0.000), H at (0.216, 0.250, 0.125) and W at (0.000, 0.000, 0.500).

No. 8
VASP calculation (GGA-PBE) on an optimized crystal structure of Pr6Nd4Er.

The calculation puts the energy of formation from the pure elements at 0.270 eV per atom. The uncorrected energy is -98.68 eV for the cell shown. The calculated density is 6.60 Mg/m³. For the size of the total moment, the calculation gives 0.00 μB per formula unit.

It has space group I-42m (No. 121), with a = 6.865 Å, b = 6.865 Å, c = 16.966 Å, α = 90.00°, β = 90.00° and γ = 90.00°. The asymmetric unit holds Pr at (0.000, 0.500, 0.000), Pr at (0.189, 0.189, 0.178), Nd at (0.173, 0.173, 0.381) and Er at (0.000, 0.000, 0.000).

No. 9
VASP calculation (GGA-PBE) on an optimized crystal structure of TmBe2Ir2.

The calculation puts the energy of formation from the pure elements at -0.702 eV per atom. The uncorrected energy is -66.31 eV for the cell shown. The energy relative to the lowest polymorph listed for this composition comes out at 0.000 eV/atom. The calculated density is 12.77 Mg/m³. For the size of the total moment, the calculation gives 0.00 μB per formula unit.

It has space group I4/mmm (No. 139), with a = 4.158 Å, b = 4.158 Å, c = 8.592 Å, α = 90.00°, β = 90.00° and γ = 90.00°. The asymmetric unit holds Tm at (0.000, 0.000, 0.000), Be at (0.000, 0.000, 0.353) and Ir at (0.000, 0.500, 0.250).

No. 10
VASP calculation (GGA-PBE) on an optimized crystal structure of NbV4Ge2.

The calculation puts the energy of formation from the pure elements at 0.996 eV per atom. The uncorrected energy is -97.62 eV for the cell shown. The calculated density is 5.44 Mg/m³. For the size of the total moment, the calculation gives 3.86 μB per formula unit.

It has space group I4/mmm (No. 139), with a = 4.473 Å, b = 4.473 Å, c = 13.482 Å, α = 90.00°, β = 90.00° and γ = 90.00°. The asymmetric unit holds Nb at (0.000, 0.000, 0.000), V at (0.000, 0.000, 0.187), V at (0.000, 0.500, 0.000) and Ge at (0.000, 0.000, 0.374).

No. 11
VASP calculation (GGA-PBE) on an optimized crystal structure of Tb4NdHo.

The calculation puts the energy of formation from the pure elements at 0.247 eV per atom. The uncorrected energy is -105.54 eV for the cell shown. The energy relative to the lowest polymorph listed for this composition comes out at 0.230 eV/atom. The calculated density is 7.91 Mg/m³. For the size of the total moment, the calculation gives 0.00 μB per formula unit.

It has space group Cmcm (No. 63), with a = 6.739 Å, b = 12.067 Å, c = 9.760 Å, α = 90.00°, β = 90.00° and γ = 90.00°. The asymmetric unit holds Tb at (0.000, 0.153, 0.070), Tb at (0.241, 0.104, 0.750), Nd at (0.000, 0.323, 0.750) and Ho at (0.000, 0.500, 0.000).

No. 12
VASP calculation (GGA-PBE) on an optimized crystal structure of Ti2CdHgH.

The uncorrected energy is -20.66 eV for the cell shown. The energy relative to the lowest polymorph listed for this composition comes out at 0.000 eV/atom. The calculated density is 8.96 Mg/m³. For the size of the total moment, the calculation gives 0.00 μB per formula unit.

It has space group P4/mmm (No. 123), with a = 4.094 Å, b = 4.094 Å, c = 4.532 Å, α = 90.00°, β = 90.00° and γ = 90.00°. The asymmetric unit holds Ti at (0.000, 0.500, 0.000), Cd at (0.000, 0.000, 0.500), Hg at (0.500, 0.500, 0.500) and H at (0.000, 0.000, 0.000).